# Hf10CuSn7 (PBE, relaxed)
# ΔE_f = -0.404 eV per atom
# final energy = -7.7179 eV per atom
data_Hf10CuSn7
_chemical_formula_sum 'Hf10 Cu1 Sn7'
_space_group_name_H-M_alt 'P -3 1 m'
_space_group_IT_number 162
_space_group_name_Hall '-P 3 2'
_cell_length_a 8.6765
_cell_length_b 8.6765
_cell_length_c 5.8681
_cell_angle_alpha 90.00
_cell_angle_beta 90.00
_cell_angle_gamma 120.00
loop_
_atom_site_label
_atom_site_fract_x
_atom_site_fract_y
_atom_site_fract_z
Hf1 0.0000 0.2730 0.2639
Hf2 0.3333 0.6667 0.0000
Hf3 0.3333 0.6667 0.5000
Cu1 0.0000 0.0000 0.5000
Sn1 0.0000 0.0000 0.0000
Sn2 0.0000 0.3861 0.7558



# Hf12Cu6Sn (PBE, relaxed)
# ΔE_f = -0.023 eV per atom
# final energy = -7.8136 eV per atom
data_Hf12Cu6Sn
_chemical_formula_sum 'Hf24 Cu12 Sn2'
_space_group_name_H-M_alt 'I m -3'
_space_group_IT_number 204
_space_group_name_Hall '-I 2 2 3'
_cell_length_a 9.020
_cell_length_b 9.020
_cell_length_c 9.020
_cell_angle_alpha 90.00
_cell_angle_beta 90.00
_cell_angle_gamma 90.00
loop_
_atom_site_label
_atom_site_fract_x
_atom_site_fract_y
_atom_site_fract_z
Hf1 0.000 0.283 0.181
Cu1 0.000 0.133 0.500
Sn1 0.000 0.000 0.000



# Hf6CuSn3 (PBE, relaxed)
# ΔE_f = -0.098 eV per atom
# final energy = -7.6803 eV per atom
data_Hf6CuSn3
_chemical_formula_sum 'Hf24 Cu4 Sn12'
_space_group_name_H-M_alt 'C m c 21'
_space_group_IT_number 36
_cell_length_a 9.514
_cell_length_b 16.061
_cell_length_c 5.689
_cell_angle_alpha 90.00
_cell_angle_beta 90.00
_cell_angle_gamma 90.00
loop_
_space_group_symop_operation_xyz
'x,y,z'
'-x,-y,z+1/2'
'-x,y,z'
'x,-y,z+1/2'
'x+1/2,y+1/2,z'
'-x+1/2,-y+1/2,z+1/2'
'-x+1/2,y+1/2,z'
'x+1/2,-y+1/2,z+1/2'
loop_
_atom_site_label
_atom_site_fract_x
_atom_site_fract_y
_atom_site_fract_z
Hf1 0.000 0.021 0.000
Hf2 0.000 0.268 0.587
Hf3 0.163 0.244 0.059
Hf4 0.183 0.426 0.717
Cu1 0.000 0.136 0.313
Sn1 0.000 0.411 0.228
Sn2 0.190 0.106 0.699